The following is a DFT calculation (PBE) of GaSi2BC after structural relaxation. Values from VASP.

Results
V = 12.784 A^3/atom
Formation energy from raw total energies = 1.367 eV/atom
DOS(E_F) = 0.1680 states/eV per atom

Structure (Quantum ESPRESSO input):
```
&SYSTEM
  ibrav = 0, nat = 5, ntyp = 4
/
ATOMIC_SPECIES
Ga 69.72 Ga.upf
Si 28.09 Si.upf
B 10.81 B.upf
C 12.01 C.upf
ATOMIC_POSITIONS angstrom
Ga 0.0000 0.0000 0.0000
Si 0.0000 1.9865 2.0248
Si 1.9865 0.0000 2.0248
B 1.9865 1.9865 0.0000
C 0.0000 0.0000 2.0248
CELL_PARAMETERS angstrom
3.9730 0.0000 0.0000
0.0000 3.9730 0.0000
0.0000 0.0000 4.0496
```